Record 1
Material: Mg3TaCl
Method: DFT, PBE-GGA
State: optimized geometry

Raw formation energy ... 5.25 eV per formula unit
VASP energy ... -2.647 eV per atom
Excess energy over the best structure of this formula in the dataset ... 440.4 meV/atom

Lattice parameters (Å, degrees): 5.6097 5.6097 5.6097 90.00 90.00 90.00
Element x y z (fractional)
Mg1 0.0000 0.0000 0.5000
Mg2 0.0000 0.5000 0.0000
Mg3 0.5000 0.0000 0.0000
Ta1 0.0000 0.0000 0.0000
Cl1 0.5000 0.5000 0.5000


Record 2
Material: Na3TaPt
Method: DFT, PBE-GGA
State: optimized geometry

Formation enthalpy at 0 K ... 140.44 kJ/mol of atoms
VASP energy ... -2.915 eV per atom
Excess energy over the best structure of this formula in the dataset ... 0.0 meV/atom

Lattice parameters (Å, degrees): 5.2368 5.2368 5.2368 90.00 90.00 90.00
Element x y z (fractional)
Na1 0.0000 0.0000 0.5000
Na2 0.0000 0.5000 0.0000
Na3 0.5000 0.0000 0.0000
Ta1 0.5000 0.5000 0.5000
Pt1 0.0000 0.0000 0.0000


Record 3
Material: SrBeBr2
Method: DFT, PBE-GGA
State: optimized geometry

Raw formation energy ... -1.99 eV per formula unit
VASP energy ... -2.686 eV per atom
Excess energy over the best structure of this formula in the dataset ... 323.2 meV/atom

Lattice parameters (Å, degrees): 5.5352 5.5352 18.5369 90.00 90.00 90.00
Element x y z (fractional)
Sr1 0.0000 0.0000 0.0000
Sr2 0.0000 0.5000 0.2500
Sr3 0.5000 0.0000 0.7500
Sr4 0.5000 0.5000 0.5000
Be1 0.0000 0.0000 0.5000
Be2 0.0000 0.5000 0.7500
Be3 0.5000 0.0000 0.2500
Be4 0.5000 0.5000 0.0000
Br1 0.2501 0.2500 0.1250
Br2 0.2499 0.2500 0.6250
Br3 0.2500 0.7501 0.3750
Br4 0.2500 0.7499 0.8750
Br5 0.7500 0.2499 0.3750
Br6 0.7500 0.2501 0.8750
Br7 0.7499 0.7500 0.1250
Br8 0.7501 0.7500 0.6250


Record 4
Material: Si2P
Method: DFT, PBE-GGA
State: optimized geometry

Raw formation energy ... 1.68 eV per formula unit
VASP energy ... -4.858 eV per atom
Excess energy over the best structure of this formula in the dataset ... 557.1 meV/atom

Lattice parameters (Å, degrees): 2.4782 2.4782 15.0884 90.00 90.00 90.00
Element x y z (fractional)
Si1 0.0000 0.0000 0.1716
Si2 0.0000 0.0000 0.8284
Si3 0.5000 0.5000 0.3284
Si4 0.5000 0.5000 0.6716
P1 0.0000 0.0000 0.5000
P2 0.5000 0.5000 0.0000


Record 5
Material: BaAgN2O
Method: DFT, PBE-GGA
State: optimized geometry

Raw formation energy ... 2.74 eV per formula unit
VASP energy ... -4.728 eV per atom

Lattice parameters (Å, degrees): 4.1735 4.1735 4.5639 90.00 90.00 90.00
Element x y z (fractional)
Ba1 0.0000 0.0000 0.0000
Ag1 0.5000 0.5000 0.5000
N1 0.0000 0.5000 0.5000
N2 0.5000 0.0000 0.5000
O1 0.5000 0.5000 0.0000


Record 6
Material: Tl2HgPb
Method: DFT, PBE-GGA
State: optimized geometry

Formation enthalpy at 0 K ... 1.41 kJ/mol of atoms
VASP energy ... -2.171 eV per atom

Lattice parameters (Å, degrees): 3.7932 3.7932 8.2630 90.00 90.00 90.00
Element x y z (fractional)
Tl1 0.0000 0.0000 0.0000
Tl2 0.5000 0.5000 0.2674
Hg1 0.0000 0.0000 0.4967
Pb1 0.5000 0.5000 0.7321


| no. | total magnetization (μB/f.u.) |
| --- | --- |
| 1 | 3.95 |
| 2 | 0.00 |
| 3 | 0.00 |
| 4 | 0.00 |
| 5 | 2.55 |
| 6 | 0.00 |